(1)
# BaLaAs2Pd2, optimized geometry, DFT PBE
data_BaLaAs2Pd2
_chemical_formula_sum 'Ba1 La1 As2 Pd2'
_cell_length_a 4.397
_cell_length_b 4.397
_cell_length_c 8.751
_cell_angle_alpha 90.00
_cell_angle_beta 90.00
_cell_angle_gamma 120.00
_symmetry_space_group_name_H-M 'P 1'
_symmetry_Int_Tables_number 1
_symmetry_space_group_name_Hall 'P 1'
loop_
_atom_site_label
_atom_site_fract_x
_atom_site_fract_y
_atom_site_fract_z
_atom_site_occupancy
Ba1 0.000 0.000 0.000 1
La1 0.000 0.000 0.500 1
As1 0.333 0.667 0.727 1
As2 0.667 0.333 0.273 1
Pd1 0.333 0.667 0.267 1
Pd2 0.667 0.333 0.733 1
# Total magnetization   0.001 μB per formula unit
# SG   P-3m1
# Energy   -33.25 eV/cell

***

(2)
# BaLiNiAs2, optimized geometry, DFT PBE
data_BaLiNiAs2
_chemical_formula_sum 'Ba1 Li1 Ni1 As2'
_cell_length_a 6.180
_cell_length_b 6.180
_cell_length_c 6.180
_cell_angle_alpha 139.14
_cell_angle_beta 139.14
_cell_angle_gamma 59.16
_symmetry_space_group_name_H-M 'P 1'
_symmetry_Int_Tables_number 1
_symmetry_space_group_name_Hall 'P 1'
loop_
_atom_site_label
_atom_site_fract_x
_atom_site_fract_y
_atom_site_fract_z
_atom_site_occupancy
Ba1 0.000 0.000 0.000 1
Li1 0.250 0.750 0.500 1
Ni1 0.750 0.250 0.500 1
As1 0.361 0.361 0.000 1
As2 0.639 0.639 0.000 1
# Total magnetization   0.001 μB per formula unit
# SG   I-4m2
# Energy   -22.24 eV/cell

***

(3)
# BaLiAsPd, optimized geometry, DFT PBE
data_BaLiAsPd
_chemical_formula_sum 'Ba1 Li1 As1 Pd1'
_cell_length_a 5.180
_cell_length_b 5.180
_cell_length_c 5.180
_cell_angle_alpha 60.00
_cell_angle_beta 60.00
_cell_angle_gamma 60.00
_symmetry_space_group_name_H-M 'P 1'
_symmetry_Int_Tables_number 1
_symmetry_space_group_name_Hall 'P 1'
loop_
_atom_site_label
_atom_site_fract_x
_atom_site_fract_y
_atom_site_fract_z
_atom_site_occupancy
Ba1 0.000 0.000 0.000 1
Li1 0.500 0.500 0.500 1
As1 0.250 0.250 0.250 1
Pd1 0.750 0.750 0.750 1
# SG   F-43m
# E above lowest polymorph   163 meV per atom

***

(4)
# BaLiAsPd, optimized geometry, DFT PBE
data_BaLiAsPd
_chemical_formula_sum 'Ba1 Li1 As1 Pd1'
_cell_length_a 4.971
_cell_length_b 4.971
_cell_length_c 4.971
_cell_angle_alpha 60.00
_cell_angle_beta 60.00
_cell_angle_gamma 60.00
_symmetry_space_group_name_H-M 'P 1'
_symmetry_Int_Tables_number 1
_symmetry_space_group_name_Hall 'P 1'
loop_
_atom_site_label
_atom_site_fract_x
_atom_site_fract_y
_atom_site_fract_z
_atom_site_occupancy
Ba1 0.000 0.000 0.000 1
Li1 0.250 0.250 0.250 1
As1 0.500 0.500 0.500 1
Pd1 0.750 0.750 0.750 1
# SG   F-43m
# E above lowest polymorph   0 meV per atom

***

(5)
# BaLiAsPd, optimized geometry, DFT PBE
data_BaLiAsPd
_chemical_formula_sum 'Ba1 Li1 As1 Pd1'
_cell_length_a 5.019
_cell_length_b 5.019
_cell_length_c 5.019
_cell_angle_alpha 60.00
_cell_angle_beta 60.00
_cell_angle_gamma 60.00
_symmetry_space_group_name_H-M 'P 1'
_symmetry_Int_Tables_number 1
_symmetry_space_group_name_Hall 'P 1'
loop_
_atom_site_label
_atom_site_fract_x
_atom_site_fract_y
_atom_site_fract_z
_atom_site_occupancy
Ba1 0.000 0.000 0.000 1
Li1 0.250 0.250 0.250 1
As1 0.750 0.750 0.750 1
Pd1 0.500 0.500 0.500 1
# SG   F-43m
# E above lowest polymorph   49 meV per atom

***

(6)
# BaLuAsO, optimized geometry, DFT PBE
data_BaLuAsO
_chemical_formula_sum 'Ba2 Lu2 As2 O2'
_cell_length_a 4.423
_cell_length_b 4.423
_cell_length_c 9.447
_cell_angle_alpha 90.00
_cell_angle_beta 90.00
_cell_angle_gamma 90.00
_symmetry_space_group_name_H-M 'P 1'
_symmetry_Int_Tables_number 1
_symmetry_space_group_name_Hall 'P 1'
loop_
_atom_site_label
_atom_site_fract_x
_atom_site_fract_y
_atom_site_fract_z
_atom_site_occupancy
Ba1 0.000 0.500 0.000 1
Ba2 0.500 0.000 0.000 1
Lu1 0.000 0.000 0.431 1
Lu2 0.500 0.500 0.571 1
As1 0.000 0.000 0.761 1
As2 0.500 0.500 0.239 1
O1 0.000 0.500 0.500 1
O2 0.500 0.000 0.500 1
# Total magnetization   0.000 μB per formula unit
# SG   P4mm
# E above lowest polymorph   37 meV per atom

***

(7)
# BaLuAsO, optimized geometry, DFT PBE
data_BaLuAsO
_chemical_formula_sum 'Ba2 Lu2 As2 O2'
_cell_length_a 4.866
_cell_length_b 4.866
_cell_length_c 9.929
_cell_angle_alpha 90.00
_cell_angle_beta 90.00
_cell_angle_gamma 90.00
_symmetry_space_group_name_H-M 'P 1'
_symmetry_Int_Tables_number 1
_symmetry_space_group_name_Hall 'P 1'
loop_
_atom_site_label
_atom_site_fract_x
_atom_site_fract_y
_atom_site_fract_z
_atom_site_occupancy
Ba1 0.250 0.250 0.096 1
Ba2 0.750 0.750 0.904 1
Lu1 0.250 0.750 0.500 1
Lu2 0.750 0.250 0.500 1
As1 0.250 0.250 0.630 1
As2 0.750 0.750 0.370 1
O1 0.250 0.750 0.000 1
O2 0.750 0.250 0.000 1
# Total magnetization   0.145 μB per formula unit
# SG   P4/nmm
# E above lowest polymorph   0 meV per atom

***

(8)
# BaLuAsO, optimized geometry, DFT PBE
data_BaLuAsO
_chemical_formula_sum 'Ba2 Lu2 As2 O2'
_cell_length_a 4.452
_cell_length_b 4.452
_cell_length_c 9.387
_cell_angle_alpha 90.00
_cell_angle_beta 90.00
_cell_angle_gamma 90.00
_symmetry_space_group_name_H-M 'P 1'
_symmetry_Int_Tables_number 1
_symmetry_space_group_name_Hall 'P 1'
loop_
_atom_site_label
_atom_site_fract_x
_atom_site_fract_y
_atom_site_fract_z
_atom_site_occupancy
Ba1 0.250 0.750 0.000 1
Ba2 0.750 0.250 0.000 1
Lu1 0.250 0.250 0.435 1
Lu2 0.750 0.750 0.565 1
As1 0.250 0.250 0.762 1
As2 0.750 0.750 0.238 1
O1 0.250 0.750 0.500 1
O2 0.750 0.250 0.500 1
# Total magnetization   0.001 μB per formula unit
# SG   P4/nmm
# E above lowest polymorph   36 meV per atom

***

(9)
# BaPrMgAs2, optimized geometry, DFT PBE
data_BaPrMgAs2
_chemical_formula_sum 'Ba2 Pr2 Mg2 As4'
_cell_length_a 9.231
_cell_length_b 9.231
_cell_length_c 7.225
_cell_angle_alpha 90.00
_cell_angle_beta 90.00
_cell_angle_gamma 151.63
_symmetry_space_group_name_H-M 'P 1'
_symmetry_Int_Tables_number 1
_symmetry_space_group_name_Hall 'P 1'
loop_
_atom_site_label
_atom_site_fract_x
_atom_site_fract_y
_atom_site_fract_z
_atom_site_occupancy
Ba1 0.200 0.800 0.500 1
Ba2 0.800 0.200 0.000 1
Pr1 0.027 0.973 0.798 1
Pr2 0.973 0.027 0.298 1
Mg1 0.403 0.597 0.636 1
Mg2 0.597 0.403 0.136 1
As1 0.162 0.838 0.038 1
As2 0.445 0.555 0.002 1
As3 0.555 0.445 0.502 1
As4 0.838 0.162 0.538 1
# Total magnetization   0.038 μB per formula unit
# SG   Cmc2_1
# Energy   -45.33 eV/cell

***

(10)
# BaSmMgAs2, optimized geometry, DFT PBE
data_BaSmMgAs2
_chemical_formula_sum 'Ba2 Sm2 Mg2 As4'
_cell_length_a 9.280
_cell_length_b 9.280
_cell_length_c 7.083
_cell_angle_alpha 90.00
_cell_angle_beta 90.00
_cell_angle_gamma 152.08
_symmetry_space_group_name_H-M 'P 1'
_symmetry_Int_Tables_number 1
_symmetry_space_group_name_Hall 'P 1'
loop_
_atom_site_label
_atom_site_fract_x
_atom_site_fract_y
_atom_site_fract_z
_atom_site_occupancy
Ba1 0.199 0.801 0.500 1
Ba2 0.801 0.199 0.000 1
Sm1 0.026 0.974 0.795 1
Sm2 0.974 0.026 0.295 1
Mg1 0.402 0.598 0.630 1
Mg2 0.598 0.402 0.130 1
As1 0.162 0.838 0.021 1
As2 0.448 0.552 0.001 1
As3 0.552 0.448 0.501 1
As4 0.838 0.162 0.521 1
# Total magnetization   0.151 μB per formula unit
# SG   Cmc2_1
# Energy   -45.27 eV/cell

***

(11)
# BaTmMgAs2, optimized geometry, DFT PBE
data_BaTmMgAs2
_chemical_formula_sum 'Ba2 Tm2 Mg2 As4'
_cell_length_a 9.300
_cell_length_b 9.300
_cell_length_c 6.897
_cell_angle_alpha 90.00
_cell_angle_beta 90.00
_cell_angle_gamma 152.80
_symmetry_space_group_name_H-M 'P 1'
_symmetry_Int_Tables_number 1
_symmetry_space_group_name_Hall 'P 1'
loop_
_atom_site_label
_atom_site_fract_x
_atom_site_fract_y
_atom_site_fract_z
_atom_site_occupancy
Ba1 0.197 0.803 0.500 1
Ba2 0.803 0.197 0.000 1
Tm1 0.027 0.973 0.798 1
Tm2 0.973 0.027 0.298 1
Mg1 0.400 0.600 0.627 1
Mg2 0.600 0.400 0.127 1
As1 0.163 0.837 0.999 1
As2 0.452 0.548 0.006 1
As3 0.548 0.452 0.506 1
As4 0.837 0.163 0.499 1
# Total magnetization   0.032 μB per formula unit
# SG   Cmc2_1
# Energy   -44.58 eV/cell

***

(12)
# Ba2MgZnAs4, optimized geometry, DFT PBE
data_Ba2MgZnAs4
_chemical_formula_sum 'Ba2 Mg1 Zn1 As4'
_cell_length_a 12.333
_cell_length_b 12.333
_cell_length_c 12.333
_cell_angle_alpha 160.40
_cell_angle_beta 160.40
_cell_angle_gamma 27.86
_symmetry_space_group_name_H-M 'P 1'
_symmetry_Int_Tables_number 1
_symmetry_space_group_name_Hall 'P 1'
loop_
_atom_site_label
_atom_site_fract_x
_atom_site_fract_y
_atom_site_fract_z
_atom_site_occupancy
Ba1 0.111 0.111 0.000 1
Ba2 0.889 0.889 0.000 1
Mg1 0.750 0.250 0.500 1
Zn1 0.250 0.750 0.500 1
As1 0.000 0.500 0.500 1
As2 0.316 0.316 0.000 1
As3 0.500 0.000 0.500 1
As4 0.684 0.684 0.000 1
# SG   I-4m2
# Energy   -31.33 eV/cell